Density functional theory data (GGA-PBE) for crystalline Ag2HgI at its relaxed geometry.

```
Ag2HgI
1.0
-4.1804 1.5046 2.4424
-2.8532 -1.7334 -3.8156
-4.0542 -8.2866 3.4278
I Hg Ag
2 2 4
Direct
0.5000 0.5000 0.0000
0.2500 0.7500 0.5000
0.0000 0.0000 0.0000
0.7500 0.2500 0.5000
0.6990 0.1250 0.2500
0.0510 0.6250 0.2500
0.3750 0.3010 0.7500
0.8750 0.9490 0.7500
```

Results
- Formation energy without anion corrections: 0.4 eV per formula unit
- Energy relative to the lowest polymorph listed for this composition: 0.00 kJ per mole of atoms
- Space group: I-42d (122)
- Mass density: 7.66 g/cm³